(1)
BeReW2, optimized geometry, DFT PBE; E_tot = -40.69 eV/cell; SG = R-3m (166)
1.0
-4.2223 6.5790 -3.2179
-6.2909 4.6341 -3.2273
-5.7577 6.1282 -0.8725
Be W Re
1 2 1
Direct
0.2500 0.2500 0.2500
0.5059 0.5059 0.5059
0.9941 0.9941 0.9941
0.7500 0.7500 0.7500

(2)
MnCo2Rh, optimized geometry, DFT PBE; E_tot = -30.37 eV/cell; SG = Cm (8)
1.0
-3.0000 -1.5459 2.8733
-1.9877 -3.6246 1.5992
2.5511 -0.8856 3.4717
Mn Rh Co
1 1 2
Direct
0.5025 0.5025 0.4995
0.7485 0.7485 0.7445
0.2527 0.2527 0.2361
0.9962 0.9962 0.0199

Number 1: ΔH_f (0 K) 0.348 eV per atom, magnetization 0.0 Bohr magnetons per cell. Number 2: ΔH_f (0 K) 0.089 eV per atom, magnetization 5.1 Bohr magnetons per cell.